# 1
Material: PuNpAu
Method: DFT, GGA-PBE
State: optimized geometry

POSCAR file:
```
PuNpAu
1.0
3.5352 0.0000 0.0000
-1.7676 5.2611 -4.2355
0.0000 -10.2986 14.9411
Np Pu Au
2 2 2
Cartesian
0.0000 -3.5296 7.8273 Np
1.7676 -1.5079 2.8783 Np
0.0000 -0.3631 1.6305 Pu
1.7676 -4.6744 9.0751 Pu
0.0000 -6.9288 10.3118 Au
1.7676 1.8914 0.3939 Au
```

Energy above the most stable polymorph in this dataset, kJ/mol of atoms: 0.0
Space group: No. 12
Raw total energy, eV/atom: -10.269



# 2
Material: Tl2OsBr
Method: DFT, GGA-PBE
State: optimized geometry

POSCAR file:
```
Tl2OsBr
1.0
10.2976 -0.0550 -0.0323
9.7636 3.2734 -0.0323
9.7636 1.5664 2.8745
Tl Br Os
2 1 1
Cartesian
0.4465 0.0716 0.0421 Tl
7.6209 1.2226 0.7180 Tl
14.2001 2.2781 1.3378 Br
22.4696 3.6048 2.1169 Os
```

Energy above the most stable polymorph in this dataset, kJ/mol of atoms: 13.8
Formation energy from raw total energies, eV/atom: 0.727
Space group: No. 160
Raw total energy, eV/atom: -3.682



Question: Which of these has the lowest energy above the most stable polymorph in this dataset?
Answer: PuNpAu